First-principles (PBE) data for Pm6PaS8 after structural relaxation, as listed in Alexandria via LeMat-Bulk.

Computed properties:
Uncorrected energy, eV/cell: -401.26
Magnetic moment, μB/f.u.: 1.59
Formation energy from raw total energies, eV/atom: -1.95

Cell: 11.3688 11.3688 11.3688 Å, 90.00 90.00 90.00°
Closest atoms and distances in Å follow each position.
Space group Fm-3m (No. 225)
Inequivalent atoms, fractional coordinates:
Pm1 0.0000 0.2500 0.2500 [24 per cell]  6 S 2.84
Pa1 0.0000 0.0000 0.0000 [4 per cell]  6 S 2.79
S1 0.0000 0.0000 0.2454 [24 per cell]  1 Pa 2.79, 4 Pm 2.84
S2 0.2500 0.2500 0.2500 [8 per cell]  6 Pm 2.84